1.
# BaMnTe2

Crystalline BaMnTe2 at its relaxed geometry (PBEsol, Alexandria).

Unit cell a=4.2956 b=4.2956 c=7.5797 alpha=90.00 beta=90.00 gamma=90.00
Each line ends with the local moment (μB).
Element x y z (fractional)
Te: 0.0000 0.0000 0.8809  0.06
Te: 0.5000 0.5000 0.2669  0.04
Ba: 0.0000 0.0000 0.4331  0.03
Mn: 0.5000 0.5000 0.9190  4.29

Calculated values
uncorrected formation energy: -548.0 meV per atom
SG: No. 99
DOS(E_F): 0.3 states/eV/f.u.

***

2.
# Tb3Sm

Crystalline Tb3Sm at its relaxed geometry (PBEsol, Alexandria).

Unit cell a=4.9470 b=4.9470 c=6.0612 alpha=114.08 beta=114.08 gamma=90.00
Element x y z (fractional)
Tb: 0.2500 0.7500 0.5000
Tb: 0.7500 0.2500 0.5000
Tb: 0.5000 0.5000 0.0000
Sm: 0.0000 0.0000 0.0000

Calculated values
E_form: 1 kJ/mol of atoms
SG: No. 139
excess energy over the best structure of this formula in the dataset: 0 meV per atom
DOS(E_F): 5.0 states/eV/f.u.

***

3.
# Ni2PbW

Crystalline Ni2PbW at its relaxed geometry (PBEsol, Alexandria).

Unit cell a=2.9235 b=4.4653 c=5.2094 alpha=115.38 beta=106.30 gamma=90.00
Element x y z (fractional)
Ni: 0.0140 0.0140 0.0281
Ni: 0.7382 0.2382 0.4763
Pb: 0.4855 0.4855 0.9709
W: 0.2624 0.7624 0.5247

Calculated values
E_form: 51 kJ/mol of atoms
SG: No. 44
DOS(E_F): 3.8 states/eV/f.u.

***

4.
# MnAlSb3

Crystalline MnAlSb3 at its relaxed geometry (PBEsol, Alexandria).

Unit cell a=4.9754 b=4.9754 c=4.9754 alpha=90.00 beta=90.00 gamma=90.00
Each line ends with the local moment (μB).
Element x y z (fractional)
Sb: 0.0000 0.5000 0.0000  -0.04
Sb: 0.0000 0.0000 0.5000  -0.04
Sb: 0.5000 0.0000 0.0000  -0.04
Mn: 0.0000 0.0000 0.0000  2.17
Al: 0.5000 0.5000 0.5000  0.02

Calculated values
uncorrected formation energy: 496.3 meV per atom
SG: No. 221
DOS(E_F): 4.3 states/eV/f.u.

***

5.
# ScBe2Au

Crystalline ScBe2Au at its relaxed geometry (PBEsol, Alexandria).

Unit cell a=3.1803 b=4.1052 c=4.6428 alpha=90.00 beta=90.00 gamma=90.00
Element x y z (fractional)
Sc: 0.5000 0.5000 0.5000
Be: 0.0000 0.0000 0.7437
Be: 0.0000 0.0000 0.2563
Au: 0.0000 0.5000 0.0000

Calculated values
E_form: -13 kJ/mol of atoms
SG: No. 47
excess energy over the best structure of this formula in the dataset: 174 meV per atom
DOS(E_F): 2.8 states/eV/f.u.

***

6.
# TiCr2H

Crystalline TiCr2H at its relaxed geometry (PBEsol, Alexandria).

Unit cell a=5.0020 b=5.0020 c=5.0020 alpha=60.00 beta=60.00 gamma=60.00
Element x y z (fractional)
Cr: 0.1250 0.1250 0.6250
Cr: 0.1250 0.1250 0.1250
Cr: 0.6250 0.1250 0.1250
Cr: 0.1250 0.6250 0.1250
H: 0.2500 0.2500 0.2500
H: 0.0000 0.0000 0.0000
Ti: 0.7500 0.7500 0.7500
Ti: 0.5000 0.5000 0.5000

Calculated values
calculated total energy: -7.844 eV/atom
SG: No. 227
DOS(E_F): 3.4 states/eV/f.u.